A plane-wave DFT calculation with PBE was carried out for crystalline Rb2Pd2O3 at its relaxed geometry. Values from VASP.

The structure in Quantum ESPRESSO input format:
```
&SYSTEM
  ibrav = 0, nat = 14, ntyp = 3
/
ATOMIC_SPECIES
Pd 106.42 Pd.upf
O 16.00 O.upf
Rb 85.47 Rb.upf
ATOMIC_POSITIONS crystal
Pd 0.613 0.500 0.000
Pd 0.887 0.887 0.887
O 0.250 0.696 0.446
Rb 0.500 0.000 0.048
Rb 0.000 0.048 0.500
Rb 0.048 0.500 0.000
Rb 0.452 0.452 0.452
O 0.696 0.446 0.250
Pd 0.500 0.000 0.613
O 0.446 0.250 0.696
Pd 0.000 0.613 0.500
O 0.750 0.804 0.054
O 0.054 0.750 0.804
O 0.804 0.054 0.750
CELL_PARAMETERS angstrom
-3.899 -4.698 4.347
-4.340 5.794 -1.938
2.262 -3.602 -6.171
```

excess energy over the best structure of this formula in the dataset: 0.0 kJ/mol of atoms

A plane-wave DFT calculation with PBE was carried out for crystalline LiAcTb at its relaxed geometry. Values from VASP.

The structure in Quantum ESPRESSO input format:
```
&SYSTEM
  ibrav = 0, nat = 3, ntyp = 3
/
ATOMIC_SPECIES
Tb 158.93 Tb.upf
Ac 227.00 Ac.upf
Li 6.94 Li.upf
ATOMIC_POSITIONS crystal
Tb 0.750 0.750 0.750
Ac 0.000 0.000 0.000
Li 0.250 0.250 0.250
CELL_PARAMETERS angstrom
0.000 3.766 3.766
3.766 0.000 3.766
3.766 3.766 0.000
```

size of the total moment: 0.0 μB/f.u.
excess energy over the best structure of this formula in the dataset: 38.7 kJ/mol of atoms

A plane-wave DFT calculation with PBE was carried out for crystalline SrBiAu2 at its relaxed geometry. Values from VASP.

The structure in Quantum ESPRESSO input format:
```
&SYSTEM
  ibrav = 0, nat = 4, ntyp = 3
/
ATOMIC_SPECIES
Au 196.97 Au.upf
Bi 208.98 Bi.upf
Sr 87.62 Sr.upf
ATOMIC_POSITIONS crystal
Au 0.000 0.000 0.000
Au 0.750 0.750 0.750
Bi 0.250 0.250 0.250
Sr 0.500 0.500 0.500
CELL_PARAMETERS angstrom
0.000 3.684 3.684
3.684 0.000 3.684
3.684 3.684 0.000
```

total DFT energy (no corrections): -3.40 eV per atom

A plane-wave DFT calculation with PBE was carried out for crystalline Cs2TbNdTe4 at its relaxed geometry. Values from VASP.

The structure in Quantum ESPRESSO input format:
```
&SYSTEM
  ibrav = 0, nat = 8, ntyp = 4
/
ATOMIC_SPECIES
Nd 144.24 Nd.upf
Te 127.60 Te.upf
Tb 158.93 Tb.upf
Cs 132.91 Cs.upf
ATOMIC_POSITIONS crystal
Nd 0.000 0.000 0.500
Te 0.333 0.667 0.906
Te 0.667 0.333 0.401
Tb 0.000 0.000 0.000
Te 0.667 0.333 0.094
Cs 0.333 0.667 0.247
Te 0.333 0.667 0.599
Cs 0.667 0.333 0.753
CELL_PARAMETERS angstrom
4.616 0.000 0.000
-2.308 3.997 0.000
0.000 0.000 17.878
```

total DFT energy (no corrections): -4.36 eV per atom
size of the total moment: 0.0 μB/f.u.

A plane-wave DFT calculation with PBE was carried out for crystalline SmSi2NiAu at its relaxed geometry. Values from VASP.

The structure in Quantum ESPRESSO input format:
```
&SYSTEM
  ibrav = 0, nat = 5, ntyp = 4
/
ATOMIC_SPECIES
Si 28.09 Si.upf
Ni 58.69 Ni.upf
Sm 150.36 Sm.upf
Au 196.97 Au.upf
ATOMIC_POSITIONS crystal
Si 0.633 0.133 0.500
Si 0.867 0.367 0.500
Ni 0.500 0.500 0.000
Sm 0.250 0.750 0.500
Au 0.000 0.000 0.000
CELL_PARAMETERS angstrom
-2.405 -3.795 3.687
1.692 -0.082 5.559
-1.712 3.889 -3.965
```

total DFT energy (no corrections): -5.57 eV per atom
size of the total moment: 0.0 μB/f.u.

A plane-wave DFT calculation with PBE was carried out for crystalline AcGdW at its relaxed geometry. Values from VASP.

The structure in Quantum ESPRESSO input format:
```
&SYSTEM
  ibrav = 0, nat = 3, ntyp = 3
/
ATOMIC_SPECIES
Gd 157.25 Gd.upf
W 183.84 W.upf
Ac 227.00 Ac.upf
ATOMIC_POSITIONS crystal
Gd 0.500 0.500 0.500
W 0.250 0.250 0.250
Ac 0.000 0.000 0.000
CELL_PARAMETERS angstrom
4.568 2.137 -0.023
0.907 4.043 2.874
2.991 -0.399 4.041
```

size of the total moment: 0.0 μB/f.u.
formation enthalpy at 0 K: 0.84 eV per atom
excess energy over the best structure of this formula in the dataset: 0.0 kJ/mol of atoms

A plane-wave DFT calculation with PBE was carried out for crystalline PrCuAu at its relaxed geometry. Values from VASP.

The structure in Quantum ESPRESSO input format:
```
&SYSTEM
  ibrav = 0, nat = 6, ntyp = 3
/
ATOMIC_SPECIES
Au 196.97 Au.upf
Pr 140.91 Pr.upf
Cu 63.55 Cu.upf
ATOMIC_POSITIONS crystal
Au 0.177 0.177 0.136
Pr 0.465 0.465 0.716
Cu 0.848 0.848 0.308
Pr 0.535 0.535 0.284
Cu 0.152 0.152 0.692
Au 0.823 0.823 0.864
CELL_PARAMETERS angstrom
-2.447 -0.761 5.223
-3.075 -4.262 2.495
7.086 0.047 -1.691
```

size of the total moment: 0.0 μB/f.u.
formation enthalpy at 0 K: -0.53 eV per atom
excess energy over the best structure of this formula in the dataset: 0.7 kJ/mol of atoms

A plane-wave DFT calculation with PBE was carried out for crystalline LiCu2P2Ir at its relaxed geometry. Values from VASP.

The structure in Quantum ESPRESSO input format:
```
&SYSTEM
  ibrav = 0, nat = 6, ntyp = 4
/
ATOMIC_SPECIES
P 30.97 P.upf
Li 6.94 Li.upf
Cu 63.55 Cu.upf
Ir 192.22 Ir.upf
ATOMIC_POSITIONS crystal
P 0.333 0.667 0.205
P 0.667 0.333 0.795
Li 0.000 0.000 0.500
Cu 0.333 0.667 0.674
Cu 0.667 0.333 0.326
Ir 0.000 0.000 0.000
CELL_PARAMETERS angstrom
4.059 0.000 0.000
-2.030 3.516 0.000
0.000 0.000 5.184
```

total DFT energy (no corrections): -5.00 eV per atom
size of the total moment: 0.0 μB/f.u.

A plane-wave DFT calculation with PBE was carried out for crystalline LiTaSn at its relaxed geometry. Values from VASP.

The structure in Quantum ESPRESSO input format:
```
&SYSTEM
  ibrav = 0, nat = 3, ntyp = 3
/
ATOMIC_SPECIES
Li 6.94 Li.upf
Ta 180.95 Ta.upf
Sn 118.71 Sn.upf
ATOMIC_POSITIONS crystal
Li 0.250 0.250 0.250
Ta 0.750 0.750 0.750
Sn 0.000 0.000 0.000
CELL_PARAMETERS angstrom
0.000 3.204 3.204
3.204 0.000 3.204
3.204 3.204 0.000
```

total DFT energy (no corrections): -5.32 eV per atom
size of the total moment: 0.0 μB/f.u.

A plane-wave DFT calculation with PBE was carried out for crystalline NbFeGe at its relaxed geometry. Values from VASP.

The structure in Quantum ESPRESSO input format:
```
&SYSTEM
  ibrav = 0, nat = 18, ntyp = 3
/
ATOMIC_SPECIES
Fe 55.84 Fe.upf
Nb 92.91 Nb.upf
Ge 72.64 Ge.upf
ATOMIC_POSITIONS crystal
Fe 0.248 0.086 0.088
Fe 0.998 0.159 0.912
Nb 0.602 0.047 0.055
Fe 0.749 0.749 0.000
Nb 0.410 0.660 0.251
Nb 0.559 0.527 0.533
Ge 0.030 0.253 0.277
Fe 0.248 0.659 0.661
Ge 0.328 0.991 0.328
Ge 0.663 0.999 0.672
Nb 0.992 0.547 0.945
Ge 0.663 0.491 0.163
Fe 0.749 0.249 0.500
Fe 0.998 0.586 0.339
Nb 0.409 0.160 0.749
Ge 0.328 0.499 0.837
Nb 0.994 0.027 0.467
Ge 0.977 0.753 0.723
CELL_PARAMETERS angstrom
-3.556 5.609 3.270
3.556 -5.609 3.270
3.556 5.609 -3.270
```

total DFT energy (no corrections): -8.02 eV per atom
size of the total moment: 1.3 μB/f.u.

A plane-wave DFT calculation with PBE was carried out for crystalline NdTmGa4Pt2 at its relaxed geometry. Values from VASP.

The structure in Quantum ESPRESSO input format:
```
&SYSTEM
  ibrav = 0, nat = 8, ntyp = 4
/
ATOMIC_SPECIES
Ga 69.72 Ga.upf
Nd 144.24 Nd.upf
Pt 195.08 Pt.upf
Tm 168.93 Tm.upf
ATOMIC_POSITIONS crystal
Ga 0.200 0.369 0.369
Nd 0.000 0.081 0.081
Ga 0.306 0.633 0.633
Pt 0.500 0.205 0.205
Ga 0.694 0.633 0.633
Ga 0.800 0.369 0.369
Pt 0.000 0.794 0.794
Tm 0.500 0.916 0.916
CELL_PARAMETERS angstrom
-3.793 2.916 -4.781
-4.556 -2.432 2.131
-3.733 1.501 3.877
```

total DFT energy (no corrections): -5.08 eV per atom
size of the total moment: 0.0 μB/f.u.

A plane-wave DFT calculation with PBE was carried out for crystalline BaUAs at its relaxed geometry. Values from VASP.

The structure in Quantum ESPRESSO input format:
```
&SYSTEM
  ibrav = 0, nat = 3, ntyp = 3
/
ATOMIC_SPECIES
U 238.03 U.upf
As 74.92 As.upf
Ba 137.33 Ba.upf
ATOMIC_POSITIONS crystal
U 0.750 0.750 0.750
As 0.250 0.250 0.250
Ba 0.000 0.000 0.000
CELL_PARAMETERS angstrom
0.000 3.688 3.688
3.688 0.000 3.688
3.688 3.688 0.000
```

size of the total moment: 4.9 μB/f.u.
excess energy over the best structure of this formula in the dataset: 36.2 kJ/mol of atoms

A plane-wave DFT calculation with PBE was carried out for crystalline Tm2LuFe9 at its relaxed geometry. Values from VASP.

The structure in Quantum ESPRESSO input format:
```
&SYSTEM
  ibrav = 0, nat = 12, ntyp = 3
/
ATOMIC_SPECIES
Fe 55.84 Fe.upf
Tm 168.93 Tm.upf
Lu 174.97 Lu.upf
ATOMIC_POSITIONS crystal
Fe 0.418 0.919 0.418
Tm 0.858 0.858 0.858
Fe 0.081 0.582 0.582
Fe 0.418 0.418 0.919
Fe 0.919 0.418 0.418
Fe 0.667 0.667 0.667
Lu 0.000 0.000 0.000
Fe 0.500 0.500 0.500
Fe 0.582 0.081 0.582
Tm 0.142 0.142 0.142
Fe 0.333 0.333 0.333
Fe 0.582 0.582 0.081
CELL_PARAMETERS angstrom
2.498 1.442 7.976
-2.498 1.442 7.976
0.000 -2.884 7.976
```

size of the total moment: 15.4 μB/f.u.
formation enthalpy at 0 K: -0.12 eV per atom

A plane-wave DFT calculation with PBE was carried out for crystalline Zr2Al2Co3Cu at its relaxed geometry. Values from VASP.

The structure in Quantum ESPRESSO input format:
```
&SYSTEM
  ibrav = 0, nat = 8, ntyp = 4
/
ATOMIC_SPECIES
Al 26.98 Al.upf
Zr 91.22 Zr.upf
Co 58.93 Co.upf
Cu 63.55 Cu.upf
ATOMIC_POSITIONS crystal
Al 0.667 0.333 0.012
Zr 0.000 0.000 0.256
Zr 0.333 0.667 0.738
Co 0.333 0.667 0.082
Co 0.333 0.667 0.407
Co 0.000 0.000 0.590
Cu 0.000 0.000 0.913
Al 0.667 0.333 0.501
CELL_PARAMETERS angstrom
-2.699 1.521 2.691
-1.327 -1.915 -3.378
0.009 -7.061 3.999
```

total DFT energy (no corrections): -6.61 eV per atom
size of the total moment: 0.2 μB/f.u.

A plane-wave DFT calculation with PBE was carried out for crystalline BMoPt at its relaxed geometry. Values from VASP.

The structure in Quantum ESPRESSO input format:
```
&SYSTEM
  ibrav = 0, nat = 3, ntyp = 3
/
ATOMIC_SPECIES
Pt 195.08 Pt.upf
B 10.81 B.upf
Mo 95.94 Mo.upf
ATOMIC_POSITIONS crystal
Pt 0.750 0.750 0.750
B 0.250 0.250 0.250
Mo 0.000 0.000 0.000
CELL_PARAMETERS angstrom
0.351 -3.700 -1.588
-2.320 -1.085 -3.127
1.641 -0.480 -3.663
```

size of the total moment: 0.0 μB/f.u.
excess energy over the best structure of this formula in the dataset: 64.2 kJ/mol of atoms

A plane-wave DFT calculation with PBE was carried out for crystalline ScCuAgHg at its relaxed geometry. Values from VASP.

The structure in Quantum ESPRESSO input format:
```
&SYSTEM
  ibrav = 0, nat = 4, ntyp = 4
/
ATOMIC_SPECIES
Sc 44.96 Sc.upf
Cu 63.55 Cu.upf
Hg 200.59 Hg.upf
Ag 107.87 Ag.upf
ATOMIC_POSITIONS crystal
Sc 0.750 0.750 0.750
Cu 0.500 0.500 0.500
Hg 0.000 0.000 0.000
Ag 0.250 0.250 0.250
CELL_PARAMETERS angstrom
0.000 3.314 3.314
3.314 0.000 3.314
3.314 3.314 0.000
```

size of the total moment: 0.0 μB/f.u.
formation enthalpy at 0 K: -0.17 eV per atom
excess energy over the best structure of this formula in the dataset: 0.5 kJ/mol of atoms

A plane-wave DFT calculation with PBE was carried out for crystalline Tm3Lu4Te2Pd2 at its relaxed geometry. Values from VASP.

The structure in Quantum ESPRESSO input format:
```
&SYSTEM
  ibrav = 0, nat = 11, ntyp = 4
/
ATOMIC_SPECIES
Te 127.60 Te.upf
Tm 168.93 Tm.upf
Lu 174.97 Lu.upf
Pd 106.42 Pd.upf
ATOMIC_POSITIONS crystal
Te 0.765 0.765 0.000
Tm 0.048 0.418 0.631
Lu 0.411 0.267 0.144
Lu 0.810 0.627 0.183
Tm 0.787 0.418 0.369
Lu 0.123 0.267 0.856
Pd 0.666 0.931 0.735
Tm 0.500 0.000 0.500
Te 0.162 0.662 0.500
Lu 0.443 0.627 0.817
Pd 0.196 0.931 0.265
CELL_PARAMETERS angstrom
-1.942 7.699 4.750
1.942 -7.699 4.750
1.942 7.699 -4.750
```

total DFT energy (no corrections): -5.22 eV per atom
size of the total moment: 0.0 μB/f.u.

A plane-wave DFT calculation with PBE was carried out for crystalline ZrFeCoSi2 at its relaxed geometry. Values from VASP.

The structure in Quantum ESPRESSO input format:
```
&SYSTEM
  ibrav = 0, nat = 5, ntyp = 4
/
ATOMIC_SPECIES
Co 58.93 Co.upf
Zr 91.22 Zr.upf
Fe 55.84 Fe.upf
Si 28.09 Si.upf
ATOMIC_POSITIONS crystal
Co 0.500 0.500 0.000
Zr 0.250 0.750 0.500
Fe 0.000 0.000 0.000
Si 0.624 0.124 0.500
Si 0.876 0.376 0.500
CELL_PARAMETERS angstrom
2.561 0.296 4.781
1.512 4.796 2.053
-4.400 -2.338 -2.164
```

total DFT energy (no corrections): -7.70 eV per atom
size of the total moment: 0.0 μB/f.u.

A plane-wave DFT calculation with PBE was carried out for crystalline LiSmMgS3 at its relaxed geometry. Values from VASP.

The structure in Quantum ESPRESSO input format:
```
&SYSTEM
  ibrav = 0, nat = 12, ntyp = 4
/
ATOMIC_SPECIES
S 32.06 S.upf
Li 6.94 Li.upf
Sm 150.36 Sm.upf
Mg 24.30 Mg.upf
ATOMIC_POSITIONS crystal
S 0.408 0.592 0.750
S 0.139 0.861 0.921
S 0.861 0.139 0.421
Li 0.249 0.751 0.250
Sm 0.500 0.500 0.000
Li 0.751 0.249 0.750
S 0.592 0.408 0.250
Mg 0.024 0.976 0.750
Mg 0.976 0.024 0.250
Sm 0.500 0.500 0.500
S 0.139 0.861 0.579
S 0.861 0.139 0.079
CELL_PARAMETERS angstrom
0.081 6.298 -1.476
-3.839 -5.134 0.867
-0.965 2.553 10.841
```

total DFT energy (no corrections): -4.92 eV per atom
size of the total moment: 0.0 μB/f.u.

A plane-wave DFT calculation with PBE was carried out for crystalline B4SbW at its relaxed geometry. Values from VASP.

The structure in Quantum ESPRESSO input format:
```
&SYSTEM
  ibrav = 0, nat = 6, ntyp = 3
/
ATOMIC_SPECIES
B 10.81 B.upf
Sb 121.76 Sb.upf
W 183.84 W.upf
ATOMIC_POSITIONS crystal
B 0.333 0.667 0.309
Sb 0.000 0.000 0.000
W 0.000 0.000 0.500
B 0.667 0.333 0.691
B 0.333 0.667 0.691
B 0.667 0.333 0.309
CELL_PARAMETERS angstrom
-2.111 -1.238 -1.746
2.883 -0.776 -0.348
-1.024 -6.404 5.780
```

size of the total moment: 0.0 μB/f.u.
excess energy over the best structure of this formula in the dataset: 0.0 kJ/mol of atoms